# LiSmLuZn

A geometry-optimized LiSmLuZn structure (PBE, the Alexandria database).

Values from the calculation:
- total energy (eV per atom) = -3.2170
- formation enthalpy at 0 K (meV/atom) = -110
- space-group type = F-43m

a = 5.104 Å, b = 5.104 Å, c = 5.104 Å
α = 60.00°, β = 60.00°, γ = 60.00°
Fractional coordinates of all 4 atoms:
Li1 0.000 0.000 0.000
Sm1 0.250 0.250 0.250
Lu1 0.750 0.750 0.750
Zn1 0.500 0.500 0.500